<w>
First-principles (PBE) data for an optimized crystal structure of As2PF, as listed in the Alexandria database.

Output
The total moment comes out at 0.00 μB per cell. The value obtained for the density of states at the Fermi level is 2.3 states/eV/cell. As for the space-group type: Fm-3m (225).

Unit cell a=4.403 b=4.403 c=4.403 alpha=60.00 beta=60.00 gamma=60.00
Fractional coordinates of all 4 atoms:
As: 0.250 0.250 0.250
As: 0.750 0.750 0.750
P: 0.000 0.000 0.000
F: 0.500 0.500 0.500

=====

<x>
First-principles (PBE) data for an optimized crystal structure of As2PF, as listed in the Alexandria database.

Output
The total moment comes out at 0.00 μB per cell. The value obtained for the density of states at the Fermi level is 0.0 states/eV/cell. As for the space-group type: I-42d (122).

Unit cell a=5.637 b=5.637 c=5.637 alpha=105.74 beta=105.74 gamma=117.22
Fractional coordinates of all 8 atoms:
As: 0.105 0.625 0.980
As: 0.375 0.355 0.480
As: 0.645 0.125 0.020
As: 0.875 0.895 0.520
P: 0.000 0.000 0.000
P: 0.750 0.250 0.500
F: 0.250 0.750 0.500
F: 0.500 0.500 0.000

=====

Which structure loses on stability? <w> does.